#i
The following is a PBE calculation of crystalline CaSiCl2 at its relaxed geometry, from Alexandria.

Cell and atoms, written as POSCAR:
```
CaSiCl2
1.0
-0.9614 0.8821 3.7936
-4.6387 -1.9369 -0.7251
0.9795 -4.8041 1.3653
Ca Cl Si
1 2 1
Direct
0.5000 0.7500 0.7500
0.0000 0.9998 0.0002
0.0000 0.5002 0.4998
0.5000 0.2500 0.2500
```



#ii
The following is a PBE calculation of crystalline CaSiCl2 at its relaxed geometry, from Alexandria.

Cell and atoms, written as POSCAR:
```
CaSiCl2
1.0
-2.9431 0.5902 -1.3663
0.2391 -2.8016 -1.7236
-5.4136 -6.0333 9.0553
Ca Cl Si
1 2 1
Direct
0.5000 0.5000 0.7500
0.0000 0.0000 0.8812
0.0000 0.0000 0.6188
0.5000 0.5000 0.2500
```



Most stable one: #ii, least stable one: #i.



#i
The following is a PBE calculation of crystalline CaSnCl6 at its relaxed geometry, from Alexandria.

Cell and atoms, written as POSCAR:
```
CaSnCl6
1.0
-2.8238 3.8660 -4.4885
-6.4939 -0.2307 -0.9106
-3.8366 5.4693 2.3258
Ca Sn Cl
1 1 6
Direct
0.5000 0.5000 0.5000
0.0000 0.0000 0.0000
0.0706 0.3932 0.7625
0.7738 0.0706 0.7625
0.6068 0.2262 0.2375
0.2262 0.9294 0.2375
0.9294 0.6068 0.2375
0.3932 0.7738 0.7625
```



#ii
The following is a PBE calculation of crystalline CaSnCl6 at its relaxed geometry, from Alexandria.

Cell and atoms, written as POSCAR:
```
CaSnCl6
1.0
-6.9786 -1.7510 -3.1287
2.8260 -2.9441 5.0816
-0.6572 6.3659 2.8718
Ca Sn Cl
1 1 6
Direct
0.0000 0.0000 0.0000
0.5000 0.0000 0.0000
0.8620 0.1348 0.2809
0.5810 0.8538 0.7191
0.4190 0.1462 0.2809
0.1380 0.8652 0.7191
0.2600 0.5269 0.0000
0.7400 0.4731 0.0000
```



Most stable one: #ii, least stable one: #i.



#i
The following is a PBE calculation of crystalline Sr2Ca2Cl7 at its relaxed geometry, from Alexandria.

Cell and atoms, written as POSCAR:
```
Sr2Ca2Cl7
1.0
8.4026 0.0000 4.8512
2.8009 7.9220 4.8512
0.0000 0.0000 9.7025
Sr Ca Cl
4 4 14
Direct
0.6250 0.6250 0.6250
0.6250 0.6250 0.1250
0.6250 0.1250 0.6250
0.1250 0.6250 0.6250
0.6250 0.1250 0.1250
0.1250 0.6250 0.1250
0.1250 0.1250 0.6250
0.1250 0.1250 0.1250
0.2368 0.2368 0.7632
0.2368 0.7632 0.2368
0.4868 0.0132 0.4868
0.4868 0.4868 0.0132
0.7500 0.7500 0.7500
0.7632 0.2368 0.2368
0.4868 0.0132 0.0132
0.0132 0.4868 0.4868
0.0132 0.0132 0.4868
0.0132 0.4868 0.0132
0.2368 0.7632 0.7632
0.5000 0.5000 0.5000
0.7632 0.2368 0.7632
0.7632 0.7632 0.2368
```



#ii
The following is a PBE calculation of crystalline Sr2Ca2Cl7 at its relaxed geometry, from Alexandria.

Cell and atoms, written as POSCAR:
```
Sr2Ca2Cl7
1.0
6.8088 -0.0034 -0.1033
0.0026 7.0122 0.0036
-0.5273 -0.0023 6.7892
Sr Ca Cl
2 2 7
Direct
0.7611 0.5000 0.7611
0.2389 0.5000 0.2389
0.7295 0.0000 0.2705
0.2705 0.0000 0.7295
0.9998 0.2488 0.5003
0.5003 0.7512 0.9998
0.0002 0.7512 0.4997
0.4997 0.2488 0.0002
0.0000 0.0000 0.0000
0.5002 0.7594 0.4998
0.4998 0.2406 0.5002
```



Most stable one: #i, least stable one: #ii.



#i
The following is a PBE calculation of crystalline Sr2Ca2Cl at its relaxed geometry, from Alexandria.

Cell and atoms, written as POSCAR:
```
Sr2Ca2Cl
1.0
8.0937 0.0000 0.0000
0.0000 8.0937 0.0000
0.0000 0.0000 6.9578
Sr Ca Cl
4 4 2
Direct
0.3283 0.8283 0.0000
0.8283 0.6717 0.0000
0.6717 0.1717 0.0000
0.1717 0.3283 0.0000
0.1570 0.6570 0.5000
0.6570 0.8430 0.5000
0.8430 0.3430 0.5000
0.3430 0.1570 0.5000
0.0000 0.0000 0.0000
0.5000 0.5000 0.0000
```



#ii
The following is a PBE calculation of crystalline Sr2Ca2Cl at its relaxed geometry, from Alexandria.

Cell and atoms, written as POSCAR:
```
Sr2Ca2Cl
1.0
4.5610 0.0000 0.0000
0.0000 4.5610 0.0000
2.2805 2.2805 10.6452
Sr Ca Cl
2 2 1
Direct
0.4049 0.4049 0.1903
0.5951 0.5951 0.8097
0.7500 0.2500 0.5000
0.2500 0.7500 0.5000
0.0000 0.0000 0.0000
```



#iii
The following is a PBE calculation of crystalline Sr2Ca2Cl at its relaxed geometry, from Alexandria.

Cell and atoms, written as POSCAR:
```
Sr2Ca2Cl
1.0
-6.7024 4.0993 1.0512
-2.7623 -2.7460 -6.9037
-2.8411 -5.4974 3.3234
Sr Ca Cl
4 4 2
Direct
0.1652 0.6652 0.5000
0.6652 0.8348 0.5000
0.8348 0.3348 0.5000
0.3348 0.1652 0.5000
0.3322 0.8322 0.0000
0.8322 0.6678 0.0000
0.6678 0.1678 0.0000
0.1678 0.3322 0.0000
0.0000 0.0000 0.0000
0.5000 0.5000 0.0000
```



Most stable one: #i, least stable one: #ii.